(1)
Here is crystalline PuNiSnPt at its relaxed geometry from Alexandria. Energies are from PBE-GGA.

Properties
For the energy relative to the elements, the calculation gives -1.6 eV/f.u. As for the space-group type: F-43m. The density comes out at 13.4 g/cm3. For the density of states at the Fermi level, the calculation gives 11.5 states/eV per cell.

a b c (Å): 4.761 4.761 4.761
angles (deg): 60.00 60.00 60.00
Last column: magnetic moment on the atom in μB.
Sites, in units of the cell vectors:
Sn: 0.000 0.000 0.000  0.00
Pt: 0.250 0.250 0.250  -0.06
Ni: 0.750 0.750 0.750  -0.17
Pu: 0.500 0.500 0.500  4.97

---

(2)
Here is crystalline TmPuNiPt at its relaxed geometry from Alexandria. Energies are from PBE-GGA.

Properties
For the energy relative to the elements, the calculation gives -2.3 eV/f.u. As for the space-group type: F-43m. The density comes out at 13.7 g/cm3. For the density of states at the Fermi level, the calculation gives 13.3 states/eV per cell.

a b c (Å): 4.852 4.852 4.852
angles (deg): 60.00 60.00 60.00
Last column: magnetic moment on the atom in μB.
Sites, in units of the cell vectors:
Tm: 0.000 0.000 0.000  0.14
Ni: 0.750 0.750 0.750  -0.01
Pt: 0.250 0.250 0.250  -0.04
Pu: 0.500 0.500 0.500  5.14

---

(3)
Here is crystalline PuUNiPt at its relaxed geometry from Alexandria. Energies are from PBE-GGA.

Properties
For the energy relative to the elements, the calculation gives -2.1 eV/f.u. As for the space-group type: F-43m. The density comes out at 17.3 g/cm3. For the density of states at the Fermi level, the calculation gives 5.0 states/eV per cell.

a b c (Å): 4.636 4.636 4.636
angles (deg): 60.00 60.00 60.00
Last column: magnetic moment on the atom in μB.
Sites, in units of the cell vectors:
Pt: 0.000 0.000 0.000  -0.02
Ni: 0.250 0.250 0.250  -0.10
U: 0.750 0.750 0.750  1.37
Pu: 0.500 0.500 0.500  4.80

---

(4)
Here is crystalline YPuNiPt at its relaxed geometry from Alexandria. Energies are from PBE-GGA.

Properties
For the energy relative to the elements, the calculation gives -2.2 eV/f.u. As for the space-group type: F-43m. The density comes out at 11.8 g/cm3. For the density of states at the Fermi level, the calculation gives 13.3 states/eV per cell.

a b c (Å): 4.892 4.892 4.892
angles (deg): 60.00 60.00 60.00
Last column: magnetic moment on the atom in μB.
Sites, in units of the cell vectors:
Pu: 0.750 0.750 0.750  5.20
Y: 0.250 0.250 0.250  0.10
Ni: 0.000 0.000 0.000  -0.01
Pt: 0.500 0.500 0.500  -0.03

---

(5)
Here is crystalline Rb2NiPt at its relaxed geometry from Alexandria. Energies are from PBE-GGA.

Properties
For the energy relative to the elements, the calculation gives 1.5 eV/f.u. As for the space-group type: I-42d. The energy above the most stable polymorph in this dataset comes out at 0 meV/atom. The density comes out at 3.9 g/cm3. For the density of states at the Fermi level, the calculation gives 9.2 states/eV per cell.

a b c (Å): 12.413 12.413 9.080
angles (deg): 46.88 46.88 90.00
Sites, in units of the cell vectors:
Ni: 0.500 0.500 0.000
Ni: 0.250 0.750 0.500
Pt: 0.750 0.250 0.500
Pt: 0.000 0.000 0.000
Rb: 0.375 0.586 0.750
Rb: 0.336 0.625 0.250
Rb: 0.875 0.664 0.750
Rb: 0.414 0.125 0.250

---

(6)
Here is crystalline RbNi2Pt2 at its relaxed geometry from Alexandria. Energies are from PBE-GGA.

Properties
For the energy relative to the elements, the calculation gives 1.7 eV/f.u. As for the space-group type: I4/mmm. The energy above the most stable polymorph in this dataset comes out at 80 meV/atom. The density comes out at 8.2 g/cm3. For the density of states at the Fermi level, the calculation gives 7.0 states/eV per cell.

a b c (Å): 4.577 4.577 6.613
angles (deg): 69.75 69.75 90.00
Last column: magnetic moment on the atom in μB.
Sites, in units of the cell vectors:
Ni: 0.314 0.314 0.373  0.39
Ni: 0.686 0.686 0.627  0.39
Pt: 0.250 0.750 0.500  0.12
Pt: 0.750 0.250 0.500  0.12
Rb: 0.000 0.000 0.000  0.00

---

(7)
Here is crystalline RbNi2Pt2 at its relaxed geometry from Alexandria. Energies are from PBE-GGA.

Properties
For the energy relative to the elements, the calculation gives 1.3 eV/f.u. As for the space-group type: P4/mbm. The energy above the most stable polymorph in this dataset comes out at 0 meV/atom. The density comes out at 11.5 g/cm3. For the density of states at the Fermi level, the calculation gives 13.1 states/eV per cell.

a b c (Å): 7.923 7.923 2.735
angles (deg): 90.00 90.00 90.00
Last column: magnetic moment on the atom in μB.
Sites, in units of the cell vectors:
Pt: 0.672 0.828 0.500  0.28
Pt: 0.328 0.172 0.500  0.28
Pt: 0.828 0.328 0.500  0.29
Pt: 0.172 0.672 0.500  0.29
Rb: 0.000 0.000 0.000  -0.01
Rb: 0.500 0.500 0.000  -0.01
Ni: 0.885 0.615 0.000  0.79
Ni: 0.385 0.885 0.000  0.78
Ni: 0.615 0.115 0.000  0.78
Ni: 0.115 0.385 0.000  0.79

---

(8)
Here is crystalline Rb2NiPt at its relaxed geometry from Alexandria. Energies are from PBE-GGA.

Properties
For the energy relative to the elements, the calculation gives 3.5 eV/f.u. As for the space-group type: Fm-3m. The energy above the most stable polymorph in this dataset comes out at 491 meV/atom. The density comes out at 5.6 g/cm3. For the density of states at the Fermi level, the calculation gives 8.3 states/eV per cell.

a b c (Å): 5.632 5.632 5.632
angles (deg): 60.00 60.00 60.00
Last column: magnetic moment on the atom in μB.
Sites, in units of the cell vectors:
Pt: 0.500 0.500 0.500  0.20
Rb: 0.250 0.250 0.250  0.00
Rb: 0.750 0.750 0.750  0.00
Ni: 0.000 0.000 0.000  0.98

---

(9)
Here is crystalline Rb2NiPt2 at its relaxed geometry from Alexandria. Energies are from PBE-GGA.

Properties
For the energy relative to the elements, the calculation gives 1.1 eV/f.u. As for the space-group type: P4/mbm. The density comes out at 8.6 g/cm3. For the density of states at the Fermi level, the calculation gives 9.2 states/eV per cell.

a b c (Å): 6.499 6.499 5.647
angles (deg): 90.00 90.00 90.00
Last column: magnetic moment on the atom in μB.
Sites, in units of the cell vectors:
Rb: 0.320 0.180 0.500  0.00
Rb: 0.820 0.320 0.500  0.00
Rb: 0.180 0.680 0.500  0.00
Rb: 0.680 0.820 0.500  0.00
Ni: 0.500 0.500 0.000  0.28
Ni: 0.000 0.000 0.000  0.28
Pt: 0.860 0.640 0.000  0.05
Pt: 0.140 0.360 0.000  0.05
Pt: 0.360 0.860 0.000  0.05
Pt: 0.640 0.140 0.000  0.05

---

(10)
Here is crystalline RbNiPt2 at its relaxed geometry from Alexandria. Energies are from PBE-GGA.

Properties
For the energy relative to the elements, the calculation gives 1.4 eV/f.u. As for the space-group type: I4_1/amd. The energy above the most stable polymorph in this dataset comes out at 0 meV/atom. The density comes out at 8.1 g/cm3. For the density of states at the Fermi level, the calculation gives 9.3 states/eV per cell.

a b c (Å): 5.227 5.227 8.865
angles (deg): 72.85 72.85 90.00
Last column: magnetic moment on the atom in μB.
Sites, in units of the cell vectors:
Pt: 0.875 0.625 0.750  0.14
Pt: 0.375 0.625 0.250  0.16
Pt: 0.375 0.625 0.750  0.15
Pt: 0.375 0.125 0.250  0.17
Ni: 0.250 0.750 0.500  0.36
Ni: 0.500 0.500 0.000  0.36
Rb: 0.750 0.250 0.500  0.00
Rb: 0.000 0.000 0.000  0.00

---

(11)
Here is crystalline RbNiPt2 at its relaxed geometry from Alexandria. Energies are from PBE-GGA.

Properties
For the energy relative to the elements, the calculation gives 3.8 eV/f.u. As for the space-group type: Fm-3m. The energy above the most stable polymorph in this dataset comes out at 605 meV/atom. The density comes out at 11.8 g/cm3. For the density of states at the Fermi level, the calculation gives 10.3 states/eV per cell.

a b c (Å): 4.737 4.737 4.737
angles (deg): 60.00 60.00 60.00
Last column: magnetic moment on the atom in μB.
Sites, in units of the cell vectors:
Ni: 0.000 0.000 0.000  0.73
Pt: 0.250 0.250 0.250  0.07
Pt: 0.750 0.750 0.750  0.07
Rb: 0.500 0.500 0.500  -0.01

---

(12)
Here is crystalline Rb3NiPt at its relaxed geometry from Alexandria. Energies are from PBE-GGA.

Properties
For the energy relative to the elements, the calculation gives 3.0 eV/f.u. As for the space-group type: Pm-3m. The energy above the most stable polymorph in this dataset comes out at 0 meV/atom. The density comes out at 3.2 g/cm3. For the density of states at the Fermi level, the calculation gives 0.0 states/eV per cell.

a b c (Å): 6.403 6.403 6.403
angles (deg): 90.00 90.00 90.00
Last column: magnetic moment on the atom in μB.
Sites, in units of the cell vectors:
Rb: 0.500 0.000 0.000  0.00
Rb: 0.000 0.000 0.500  0.00
Rb: 0.000 0.500 0.000  0.00
Pt: 0.000 0.000 0.000  0.00
Ni: 0.500 0.500 0.500  -1.00

---

(13)
Here is crystalline RbNi2PtS at its relaxed geometry from Alexandria. Energies are from PBE-GGA.

Properties
As for the space-group type: P4/mmm. The density comes out at 6.4 g/cm3. For the density of states at the Fermi level, the calculation gives 7.2 states/eV per cell. The value obtained for the raw formation energy is 219.3 kJ/mol of atoms.

a b c (Å): 4.539 5.421 4.539
angles (deg): 90.00 90.00 90.00
Last column: magnetic moment on the atom in μB.
Sites, in units of the cell vectors:
S: 0.500 0.500 0.500  0.10
Rb: 0.000 0.000 0.000  -0.01
Pt: 0.000 0.500 0.000  0.04
Ni: 0.500 0.000 0.000  0.34
Ni: 0.000 0.000 0.500  0.28